Entry 1:
{"formula": "Pr2Nd6DyY", "functional": "PBE-GGA", "state": "optimized geometry", "cell": [[4.615, -7.736, 0.000], [4.615, 7.736, 0.000], [-1.569, 0.000, 9.836]], "species": ["Pr", "Pr", "Pr", "Pr", "Nd", "Nd", "Nd", "Nd", "Nd", "Nd", "Nd", "Nd", "Nd", "Nd", "Nd", "Nd", "Dy", "Dy", "Y", "Y"], "frac_coords": [[0.194, 0.294, 0.041], [0.294, 0.194, 0.541], [0.706, 0.806, 0.459], [0.806, 0.706, 0.959], [0.018, 0.575, 0.188], [0.121, 0.751, 0.555], [0.249, 0.879, 0.945], [0.292, 0.500, 0.380], [0.425, 0.982, 0.312], [0.500, 0.292, 0.880], [0.500, 0.708, 0.120], [0.575, 0.018, 0.688], [0.708, 0.500, 0.620], [0.751, 0.121, 0.055], [0.879, 0.249, 0.445], [0.982, 0.425, 0.812], [0.019, 0.981, 0.250], [0.981, 0.019, 0.750], [0.407, 0.593, 0.750], [0.593, 0.407, 0.250]], "vol_a3_per_cell": 702.30, "ef_ev_per_fu": 1.105}

---

Entry 2:
{"formula": "LiTa2BiRu", "functional": "PBE-GGA", "state": "optimized geometry", "cell": [[5.160, 0.000, 0.000], [0.000, 5.160, 0.000], [0.000, 0.000, 4.303]], "species": ["Li", "Ta", "Ta", "Bi", "Ru"], "frac_coords": [[0.000, 0.000, 0.000], [0.000, 0.500, 0.500], [0.500, 0.000, 0.500], [0.000, 0.000, 0.500], [0.500, 0.500, 0.000]], "vol_a3_per_cell": 114.56, "ef_ev_per_fu": 9.779}

---

Entry 3:
{"formula": "La2SbSe", "functional": "PBE-GGA", "state": "optimized geometry", "cell": [[3.889, -2.243, 0.000], [3.889, 2.243, 0.000], [-2.582, 0.000, 7.265]], "species": ["La", "La", "Sb", "Se"], "frac_coords": [[0.246, 0.246, 0.239], [0.754, 0.754, 0.761], [0.000, 0.000, 0.500], [0.500, 0.500, 0.000]], "e_form_raw_ev_per_atom": -1.643, "vol_a3_per_cell": 126.71, "e_above_lowest_polymorph_mev_per_atom": 0}

---

Entry 4:
{"formula": "CsCuSi2", "functional": "PBE-GGA", "state": "optimized geometry", "cell": [[4.387, 0.000, 0.000], [1.567, 5.903, 0.000], [1.344, 0.401, 8.048]], "species": ["Cs", "Cs", "Cu", "Cu", "Si", "Si", "Si", "Si"], "frac_coords": [[0.000, 0.000, 0.000], [0.359, 0.489, 0.750], [0.043, 0.617, 0.363], [0.455, 0.231, 0.334], [0.370, 0.867, 0.379], [0.626, 0.552, 0.198], [0.747, 0.930, 0.550], [0.925, 0.259, 0.411]], "e_form_raw_ev_per_atom": 0.053, "vol_a3_per_cell": 208.43, "e_above_lowest_polymorph_mev_per_atom": 38}